Version 1
The following is a PBE-GGA calculation of LiCaSc2H after structural relaxation, from Alexandria via LeMat-Bulk.

Cell lengths 4.4403, 5.4145, 4.4403 Å; angles 90.00, 90.00, 90.00 degrees
Last column: magnetic moment on the atom in μB.
Fractional positions:
Sc1 0.0000 0.0000 0.5000  0.22
Li1 0.0000 0.5000 0.0000  -0.01
H1 0.0000 0.0000 0.0000  0.00
Ca1 0.5000 0.5000 0.5000  0.00
Sc2 0.5000 0.0000 0.0000  0.25

Total moment: 0.6 μB per cell
Crystal system: tetragonal
Space-group type: P4/mmm

=====

Version 2
The following is a PBE-GGA calculation of LiCaSc2H after structural relaxation, from Alexandria via LeMat-Bulk.

Cell lengths 4.4319, 4.4319, 5.3984 Å; angles 90.00, 90.00, 90.00 degrees
Last column: magnetic moment on the atom in μB.
Fractional positions:
Sc1 0.0000 0.5000 0.0000  0.46
Li1 0.5000 0.5000 0.5000  0.00
Sc2 0.5000 0.0000 0.0000  0.46
Ca1 0.0000 0.0000 0.5000  0.03
H1 0.0000 0.0000 0.0000  -0.01

Total moment: 1.5 μB per cell
Crystal system: tetragonal
Space-group type: P4/mmm

=====

Most favorable structure: version 2. The second most favorable one is 0.035 eV/atom above it.

=====

Version 1
The following is a PBE-GGA calculation of Li2CaSiH after structural relaxation, from Alexandria via LeMat-Bulk.

Cell lengths 3.4450, 5.9111, 8.1902 Å; angles 90.00, 90.00, 106.94 degrees
Fractional positions:
Si1 0.7386 0.4771 0.7500
Ca1 0.4616 0.9232 0.7500
Li1 0.1616 0.3231 0.5417
Li2 0.8384 0.6769 0.4583
Li3 0.8384 0.6769 0.0417
H1 0.0000 0.0000 0.5000
Li4 0.1616 0.3231 0.9583
Ca2 0.5384 0.0768 0.2500
H2 0.0000 0.0000 0.0000
Si2 0.2614 0.5229 0.2500

Total moment: 0.0 μB per cell
Crystal system: orthorhombic
Space-group type: Cmcm

=====

Version 2
The following is a PBE-GGA calculation of Li2CaSiH after structural relaxation, from Alexandria via LeMat-Bulk.

Cell lengths 4.1887, 4.1887, 4.6840 Å; angles 90.00, 90.00, 90.00 degrees
Fractional positions:
Li1 0.0000 0.5000 0.0000
Si1 0.5000 0.5000 0.5000
Ca1 0.0000 0.0000 0.5000
H1 0.0000 0.0000 0.0000
Li2 0.5000 0.0000 0.0000

Total moment: 0.0 μB per cell
Crystal system: tetragonal
Space-group type: P4/mmm

=====

Most favorable structure: version 1. The second most favorable one is 0.044 eV/atom above it.

=====

Version 1
The following is a PBE-GGA calculation of SrLiCa2H after structural relaxation, from Alexandria via LeMat-Bulk.

Cell lengths 5.1007, 5.1007, 5.9097 Å; angles 90.00, 90.00, 90.00 degrees
Fractional positions:
Li1 0.0000 0.0000 0.5000
H1 0.0000 0.0000 0.0000
Sr1 0.5000 0.5000 0.5000
Ca1 0.5000 0.0000 0.0000
Ca2 0.0000 0.5000 0.0000

Total moment: 0.0 μB per cell
Crystal system: tetragonal
Space-group type: P4/mmm

=====

Version 2
The following is a PBE-GGA calculation of SrLiCa2H after structural relaxation, from Alexandria via LeMat-Bulk.

Cell lengths 5.1107, 5.1107, 5.6983 Å; angles 90.00, 90.00, 90.00 degrees
Fractional positions:
H1 0.0000 0.0000 0.0000
Sr1 0.0000 0.0000 0.5000
Ca1 0.5000 0.0000 0.0000
Ca2 0.0000 0.5000 0.0000
Li1 0.5000 0.5000 0.5000

Total moment: 0.0 μB per cell
Crystal system: tetragonal
Space-group type: P4/mmm

=====

Most favorable structure: version 2. The second most favorable one is 0.088 eV/atom above it.

=====

Version 1
The following is a PBE-GGA calculation of LiCa2TlH after structural relaxation, from Alexandria via LeMat-Bulk.

Cell lengths 4.9725, 4.9725, 4.7561 Å; angles 90.00, 90.00, 90.00 degrees
Fractional positions:
Ca1 0.0000 0.5000 0.0000
Li1 0.5000 0.5000 0.5000
Ca2 0.5000 0.0000 0.0000
Tl1 0.0000 0.0000 0.5000
H1 0.0000 0.0000 0.0000

Total moment: 0.0 μB per cell
Crystal system: tetragonal
Space-group type: P4/mmm

=====

Version 2
The following is a PBE-GGA calculation of LiCa2TlH after structural relaxation, from Alexandria via LeMat-Bulk.

Cell lengths 5.2058, 5.2058, 4.0250 Å; angles 90.00, 90.00, 90.00 degrees
Fractional positions:
Ca1 0.0000 0.5000 0.0000
H1 0.0000 0.0000 0.0000
Li1 0.0000 0.0000 0.5000
Ca2 0.5000 0.0000 0.0000
Tl1 0.5000 0.5000 0.5000

Total moment: 0.0 μB per cell
Crystal system: tetragonal
Space-group type: P4/mmm

=====

Most favorable structure: version 2. The second most favorable one is 0.222 eV/atom above it.

=====

Version 1
The following is a PBE-GGA calculation of LiCa2ZnH after structural relaxation, from Alexandria via LeMat-Bulk.

Cell lengths 5.0473, 5.0473, 3.9843 Å; angles 90.00, 90.00, 90.00 degrees
Fractional positions:
Zn1 0.5000 0.5000 0.5000
Ca1 0.5000 0.0000 0.0000
H1 0.0000 0.0000 0.0000
Ca2 0.0000 0.5000 0.0000
Li1 0.0000 0.0000 0.5000

Total moment: 0.0 μB per cell
Crystal system: tetragonal
Space-group type: P4/mmm

=====

Version 2
The following is a PBE-GGA calculation of LiCa2ZnH after structural relaxation, from Alexandria via LeMat-Bulk.

Cell lengths 5.0132, 5.0132, 4.1690 Å; angles 90.00, 90.00, 90.00 degrees
Fractional positions:
Zn1 0.0000 0.0000 0.5000
Ca1 0.5000 0.0000 0.0000
Ca2 0.0000 0.5000 0.0000
H1 0.0000 0.0000 0.0000
Li1 0.5000 0.5000 0.5000

Total moment: 0.0 μB per cell
Crystal system: tetragonal
Space-group type: P4/mmm

=====

Most favorable structure: version 1. The second most favorable one is 0.124 eV/atom above it.

=====

Version 1
The following is a PBE-GGA calculation of CaMg2H after structural relaxation, from Alexandria via LeMat-Bulk.

Cell lengths 5.2425, 5.2425, 5.2425 Å; angles 60.00, 60.00, 60.00 degrees
Fractional positions:
Ca1 0.5000 0.5000 0.5000
Mg1 0.2500 0.2500 0.2500
Mg2 0.7500 0.7500 0.7500
H1 0.0000 0.0000 0.0000

Total moment: 0.0 μB per cell
Crystal system: cubic
Space-group type: Fm-3m

=====

Version 2
The following is a PBE-GGA calculation of CaMg2H after structural relaxation, from Alexandria via LeMat-Bulk.

Cell lengths 6.3568, 6.3568, 6.3555 Å; angles 59.99, 59.99, 90.00 degrees
Fractional positions:
Mg1 0.8750 0.6248 0.7500
Ca1 0.7500 0.2500 0.5000
H1 0.5000 0.5000 0.0000
Mg2 0.3752 0.6250 0.2500
H2 0.2500 0.7500 0.5000
Ca2 0.0000 0.0000 0.0000
Mg3 0.3750 0.6252 0.7500
Mg4 0.3748 0.1250 0.2500

Total moment: 0.0 μB per cell
Crystal system: cubic
Space-group type: Fd-3m

=====

Most favorable structure: version 2. The second most favorable one is 0.587 eV/atom above it.

=====

Version 1
The following is a PBE-GGA calculation of Ca2MgH after structural relaxation, from Alexandria via LeMat-Bulk.

Cell lengths 3.3780, 3.3780, 8.4422 Å; angles 90.00, 90.00, 90.00 degrees
Fractional positions:
H1 0.5000 0.5000 0.0000
Ca1 0.0000 0.0000 0.7955
Ca2 0.0000 0.0000 0.2045
Mg1 0.5000 0.5000 0.5000

Total moment: 0.0 μB per cell
Crystal system: tetragonal
Space-group type: P4/mmm

=====

Version 2
The following is a PBE-GGA calculation of Ca2MgH after structural relaxation, from Alexandria via LeMat-Bulk.

Cell lengths 3.5848, 3.5848, 9.7728 Å; angles 79.43, 79.43, 60.00 degrees
Fractional positions:
Ca1 0.1157 0.1157 0.6530
Ca2 0.8843 0.8843 0.3470
H1 0.5000 0.5000 0.5000
Mg1 0.0000 0.0000 0.0000

Total moment: 0.0 μB per cell
Crystal system: trigonal
Space-group type: R-3m

=====

Most favorable structure: version 1. The second most favorable one is 0.012 eV/atom above it.

=====

Version 1
The following is a PBE-GGA calculation of CaMgH3 after structural relaxation, from Alexandria via LeMat-Bulk.

Cell lengths 5.2166, 5.2166, 10.4867 Å; angles 81.49, 81.49, 63.57 degrees
Fractional positions:
Mg1 0.2752 0.7248 0.7500
Ca1 0.3424 0.8980 0.3791
H1 0.8935 0.2509 0.4301
H2 0.2630 0.3885 0.9529
H3 0.2509 0.8935 0.9301
Mg2 0.7248 0.2752 0.2500
Mg3 0.5000 0.0000 0.0000
H4 0.1065 0.7491 0.5699
H5 0.3885 0.2630 0.4529
Ca2 0.1020 0.6576 0.1209
H6 0.7491 0.1065 0.0699
H7 0.7370 0.6115 0.0471
H8 0.8871 0.8409 0.3254
H9 0.1129 0.1591 0.6746
H10 0.1591 0.1129 0.1746
Mg4 0.0000 0.5000 0.5000
Ca3 0.8980 0.3424 0.8791
Ca4 0.6576 0.1020 0.6209
H11 0.6115 0.7370 0.5471
H12 0.8409 0.8871 0.8254

Total moment: 0.0 μB per cell
Crystal system: monoclinic
Space-group type: C2/c

=====

Version 2
The following is a PBE-GGA calculation of CaMgH3 after structural relaxation, from Alexandria via LeMat-Bulk.

Cell lengths 4.1912, 4.1912, 4.1912 Å; angles 90.00, 90.00, 90.00 degrees
Fractional positions:
H1 0.0000 0.5000 0.0000
Mg1 0.5000 0.5000 0.5000
Ca1 0.0000 0.0000 0.0000
H2 0.5000 0.0000 0.0000
H3 0.0000 0.0000 0.5000

Total moment: 0.0 μB per cell
Crystal system: cubic
Space-group type: Pm-3m

=====

Version 3
The following is a PBE-GGA calculation of CaMgH3 after structural relaxation, from Alexandria via LeMat-Bulk.

Cell lengths 3.9113, 3.9113, 3.9113 Å; angles 90.00, 90.00, 90.00 degrees
Fractional positions:
Ca1 0.5000 0.5000 0.5000
H1 0.0000 0.0000 0.5000
H2 0.0000 0.5000 0.0000
Mg1 0.0000 0.0000 0.0000
H3 0.5000 0.0000 0.0000

Total moment: 0.0 μB per cell
Crystal system: cubic
Space-group type: Pm-3m

=====

Most favorable structure: version 1. The second most favorable one is 0.091 eV/atom above it.